No. 1
First-principles (GGA-PBE) data for a geometry-optimized Pm3CSe2 structure, as listed in Alexandria via LeMat-Bulk.

## Properties
Uncorrected formation energy   -7.81 eV per formula unit
E above lowest polymorph   0.273 eV per formula unit
Magnetic moment   0.0 μB/f.u.

Unit cell a=7.235 b=12.170 c=6.894 alpha=90.00 beta=109.46 gamma=90.00
Space group C2/c (No. 15)
Unique sites:
Pm  0.206  0.071  0.003
Pm  0.250  0.250  0.500
C  0.000  0.076  0.250
Se  0.000  0.258  0.750
Se  0.000  0.418  0.250

=====

No. 2
First-principles (GGA-PBE) data for a geometry-optimized HoAlGa structure, as listed in Alexandria via LeMat-Bulk.

## Properties
Electronic total energy   -4.344 eV per atom
Magnetic moment   0.0 μB/f.u.

Unit cell a=4.4786 b=4.4786 c=3.4923 alpha=90.00 beta=90.00 gamma=120.00
Space group P-6m2 (No. 187)
Unique sites:
Ho  0.0000  0.0000  0.0000
Al  0.3333  0.6667  0.5000
Ga  0.6667  0.3333  0.5000

=====

No. 3
First-principles (GGA-PBE) data for a geometry-optimized Na3BeFe structure, as listed in Alexandria via LeMat-Bulk.

## Properties
E above lowest polymorph   0.000 eV per formula unit
Magnetic moment   3.2 μB/f.u.

Unit cell a=5.266 b=5.266 c=5.266 alpha=90.00 beta=90.00 gamma=90.00
Space group Pm-3m (No. 221)
Unique sites:
Na  0.000  0.000  0.500
Be  0.000  0.000  0.000
Fe  0.500  0.500  0.500

=====

No. 4
First-principles (GGA-PBE) data for a geometry-optimized LaNi2Pd2 structure, as listed in Alexandria via LeMat-Bulk.

## Properties
E above lowest polymorph   0.838 eV per formula unit
Magnetic moment   0.1 μB/f.u.

Unit cell a=7.393 b=7.393 c=3.049 alpha=90.00 beta=90.00 gamma=90.00
Space group P4/mbm (No. 127)
Unique sites:
La  0.000  0.000  0.000
Ni  0.161  0.339  0.500
Pd  0.134  0.634  0.000

=====

No. 5
First-principles (GGA-PBE) data for a geometry-optimized PrDy6Sc3 structure, as listed in Alexandria via LeMat-Bulk.

## Properties
E above lowest polymorph   0.000 eV per formula unit
Magnetic moment   0.0 μB/f.u.

Unit cell a=10.190 b=18.867 c=6.252 alpha=90.00 beta=90.00 gamma=90.00
Space group Cmc2_1 (No. 36)
Unique sites:
Pr  0.000  0.213  0.000
Dy  0.000  0.044  0.632
Dy  0.000  0.317  0.460
Dy  0.171  0.466  0.307
Dy  0.227  0.203  0.643
Sc  0.000  0.385  0.924
Sc  0.196  0.115  0.209

=====

No. 6
First-principles (GGA-PBE) data for a geometry-optimized Rb5PmS4 structure, as listed in Alexandria via LeMat-Bulk.

## Properties
Uncorrected formation energy   -12.04 eV per formula unit
Magnetic moment   0.0 μB/f.u.

Unit cell a=20.196 b=4.587 c=8.614 alpha=90.00 beta=115.20 gamma=90.00
Space group C2/m (No. 12)
Unique sites:
Rb  0.000  0.000  0.000
Rb  0.170  0.500  0.420
Rb  0.170  0.500  0.918
Pm  0.000  0.000  0.500
S  0.000  0.500  0.281
S  0.163  0.000  0.662

=====

No. 7
First-principles (GGA-PBE) data for a geometry-optimized In2PI structure, as listed in Alexandria via LeMat-Bulk.

## Properties
Uncorrected formation energy   0.01 eV per formula unit
Magnetic moment   0.0 μB/f.u.

Unit cell a=7.681 b=7.681 c=8.922 alpha=90.00 beta=90.00 gamma=90.00
Space group I-42d (No. 122)
Unique sites:
In  0.185  0.250  0.125
P  0.000  0.000  0.000
I  0.000  0.000  0.500

=====

No. 8
First-principles (GGA-PBE) data for a geometry-optimized Mg8ZnCu4 structure, as listed in Alexandria via LeMat-Bulk.

## Properties
Electronic total energy   -2.349 eV per atom
Magnetic moment   0.0 μB/f.u.

Unit cell a=9.418 b=9.418 c=5.298 alpha=90.00 beta=90.00 gamma=90.00
Space group I4/mmm (No. 139)
Unique sites:
Mg  0.000  0.214  0.000
Mg  0.000  0.332  0.500
Zn  0.000  0.000  0.500
Cu  0.250  0.250  0.250